(1)
Entry from Alexandria via LeMat-Bulk: a geometry-optimized ZnHg4P structure (PBE).

Calculated values
- SG: F-43m, No. 216
- Crystal system: cubic
- Formation energy from the elements: 55.5 kJ/mol of atoms
- VASP energy: -0.74 eV/atom

a = 5.9166 Å, b = 5.9166 Å, c = 5.9166 Å
α = 60.00°, β = 60.00°, γ = 60.00°
Sites, in units of the cell vectors:
Zn 0.0000 0.0000 0.0000
Hg 0.1258 0.6247 0.6247
Hg 0.6247 0.1258 0.6247
Hg 0.6247 0.6247 0.1258
Hg 0.6247 0.6247 0.6247
P 0.2500 0.2500 0.2500

(2)
Entry from Alexandria via LeMat-Bulk: a geometry-optimized Tb2SmY6Tm structure (PBE).

Calculated values
- SG: C2/c, No. 15
- Crystal system: monoclinic
- Formation energy from the elements: 11.2 kJ/mol of atoms
- VASP energy: -5.61 eV/atom

a = 8.7820 Å, b = 8.7820 Å, c = 9.6243 Å
α = 94.23°, β = 94.23°, γ = 117.58°
Sites, in units of the cell vectors:
Tb 0.1978 0.3001 0.0465
Tb 0.3001 0.1978 0.5465
Tb 0.6999 0.8022 0.4535
Tb 0.8022 0.6999 0.9535
Sm 0.0229 0.9771 0.2500
Sm 0.9771 0.0229 0.7500
Y 0.0150 0.5686 0.1846
Y 0.1230 0.7506 0.5567
Y 0.2494 0.8770 0.9433
Y 0.2933 0.5067 0.3825
Y 0.4314 0.9850 0.3154
Y 0.4933 0.7067 0.1175
Y 0.5067 0.2933 0.8825
Y 0.5686 0.0150 0.6846
Y 0.7067 0.4933 0.6175
Y 0.7506 0.1230 0.0567
Y 0.8770 0.2494 0.4433
Y 0.9850 0.4314 0.8154
Tm 0.4091 0.5909 0.7500
Tm 0.5909 0.4091 0.2500